Model P:
Below is a geometry-optimized ZrV3Pb structure, with properties calculated at the PBE level.

abc: 4.7186 4.7186 4.7186
angles: 90.00 90.00 90.00
Closest atoms and distances in Å follow each position.
Space group Pm-3m (No. 221)
Unique sites:
Zr 0.0000 0.0000 0.0000 (multiplicity 1)  6 V 2.36
V 0.0000 0.0000 0.5000 (multiplicity 3)  2 Zr 2.36
Pb 0.5000 0.5000 0.5000 (multiplicity 1)  12 V 3.34

DOS at the Fermi energy	7.5	states/eV per cell
magnetization	0.00	Bohr magnetons per cell


Model Q:
Below is a geometry-optimized ZrV3Pb structure, with properties calculated at the PBE level.

abc: 4.8919 4.8919 4.8919
angles: 90.00 90.00 90.00
Closest atoms and distances in Å follow each position.
Space group Pm-3m (No. 221)
Unique sites:
Zr 0.0000 0.0000 0.0000 (multiplicity 1)  12 V 3.46
V 0.0000 0.5000 0.5000 (multiplicity 3)  2 Pb 2.45
Pb 0.5000 0.5000 0.5000 (multiplicity 1)  6 V 2.45

DOS at the Fermi energy	9.3	states/eV per cell
magnetization	1.67	Bohr magnetons per cell


Which is less stable than every other structure shown? model Q is.